No. 1
Below is a relaxed structure of K3Ce3MnS8, with properties calculated at the PBE level.

Properties
SG: R-3m (166)
Final energy, eV per cell: -86.42

POSCAR file:
```
K3Ce3MnS8
1.0
-3.948 -6.945 1.346
3.542 1.322 -7.164
5.228 -1.642 6.861
Mn S K Ce
1 8 3 3
Direct
0.000 0.000 0.500
0.742 0.966 0.689
0.776 0.553 0.311
0.224 0.447 0.689
0.776 0.034 0.311
0.264 0.529 0.293
0.736 0.471 0.707
0.224 0.966 0.689
0.258 0.034 0.311
0.000 0.500 0.000
0.000 0.000 0.000
0.500 0.500 0.000
0.500 0.000 0.500
0.000 0.500 0.500
0.500 0.500 0.500
```

No. 2
Below is a relaxed structure of K4Ce3MnS8, with properties calculated at the PBE level.

Properties
SG: R-3m (166)
Final energy, eV per cell: -89.34

POSCAR file:
```
K4Ce3MnS8
1.0
8.224 0.000 0.000
0.000 8.732 0.353
-4.112 -4.109 5.817
S K Ce Mn
8 4 3 1
Direct
0.771 0.301 0.030
0.264 0.292 0.528
0.259 0.301 0.030
0.229 0.699 0.970
0.736 0.708 0.472
0.741 0.699 0.970
0.229 0.699 0.457
0.771 0.301 0.543
0.500 0.000 0.000
0.000 0.000 0.500
0.500 0.000 0.500
0.000 0.000 0.000
0.500 0.500 0.000
0.000 0.500 0.500
0.500 0.500 0.500
0.000 0.500 0.000
```

No. 3
Below is a relaxed structure of K2CeMnS4, with properties calculated at the PBE level.

Properties
SG: Imma (74)
Final energy, eV per cell: -87.91

POSCAR file:
```
K2CeMnS4
1.0
-2.681 6.548 4.260
-1.345 -4.844 6.552
7.509 0.132 -3.721
K S Ce Mn
4 8 2 2
Direct
0.000 0.000 0.500
0.500 0.000 0.000
0.500 0.500 0.000
0.500 0.000 0.500
0.794 0.265 0.029
0.206 0.735 0.971
0.766 0.734 0.547
0.766 0.734 0.953
0.234 0.266 0.047
0.234 0.266 0.453
0.235 0.706 0.471
0.765 0.294 0.529
0.000 0.500 0.000
0.000 0.500 0.500
0.000 0.000 0.000
0.500 0.500 0.500
```

No. 4
Below is a relaxed structure of K3CeMn2Se6, with properties calculated at the PBE level.

Properties
SG: C2/m (12)
Final energy, eV per cell: -61.12

POSCAR file:
```
K3CeMn2Se6
1.0
-3.662 -5.823 -0.706
6.853 -0.432 -0.815
-0.291 0.730 7.998
Se Mn K Ce
6 2 3 1
Direct
0.702 0.702 0.184
0.048 0.407 0.199
0.952 0.593 0.801
0.593 0.952 0.801
0.407 0.048 0.199
0.298 0.298 0.816
0.669 0.331 0.000
0.331 0.669 0.000
0.161 0.839 0.500
0.500 0.500 0.500
0.839 0.161 0.500
0.000 0.000 0.000
```

No. 5
Below is a relaxed structure of K2CeMnSe4, with properties calculated at the PBE level.

Properties
SG: Imma (74)
Final energy, eV per cell: -81.44

POSCAR file:
```
K2CeMnSe4
1.0
8.620 -0.031 -0.177
-0.037 8.620 -0.177
-4.305 -4.308 6.256
K Se Mn Ce
4 8 2 2
Direct
0.500 0.500 0.000
0.500 0.000 0.000
0.000 0.000 0.500
0.500 0.000 0.500
0.237 0.709 0.473
0.791 0.263 0.027
0.236 0.264 0.454
0.763 0.291 0.527
0.764 0.736 0.954
0.764 0.736 0.546
0.209 0.737 0.973
0.236 0.264 0.046
0.000 0.000 0.000
0.500 0.500 0.500
0.000 0.500 0.000
0.000 0.500 0.500
```

No. 6
Below is a relaxed structure of K3Ce2MnSe6, with properties calculated at the PBE level.

Properties
SG: C2/m (12)
Final energy, eV per cell: -59.83

POSCAR file:
```
K3Ce2MnSe6
1.0
-1.285 -7.021 -0.575
3.035 2.657 5.916
-7.560 2.507 1.294
K Se Mn Ce
3 6 1 2
Direct
0.172 0.828 0.500
0.500 0.500 0.500
0.828 0.172 0.500
0.066 0.368 0.198
0.934 0.632 0.802
0.232 0.232 0.803
0.632 0.934 0.802
0.768 0.768 0.197
0.368 0.066 0.198
0.000 0.000 0.000
0.666 0.334 0.000
0.334 0.666 0.000
```

No. 7
Below is a relaxed structure of K4Ce3MnSe8, with properties calculated at the PBE level.

Properties
SG: R-3m (166)
Final energy, eV per cell: -82.69

POSCAR file:
```
K4Ce3MnSe8
1.0
-3.158 -5.110 -6.086
-2.151 -6.190 6.313
-3.062 7.928 0.940
Se K Ce Mn
8 4 3 1
Direct
0.744 0.702 0.973
0.256 0.298 0.027
0.229 0.701 0.457
0.771 0.298 0.027
0.737 0.712 0.474
0.229 0.702 0.973
0.771 0.299 0.543
0.263 0.288 0.526
0.500 0.000 0.000
0.500 0.000 0.500
0.000 0.000 0.000
0.000 0.000 0.500
0.000 0.500 0.500
0.500 0.500 0.500
0.500 0.500 0.000
0.000 0.500 0.000
```

No. 8
Below is a relaxed structure of KCeMnSe3, with properties calculated at the PBE level.

Properties
SG: P2_1/m (11)
Final energy, eV per cell: -68.48

POSCAR file:
```
KCeMnSe3
1.0
4.305 0.000 0.000
0.000 9.142 0.493
0.000 -3.075 9.215
Mn Se K Ce
2 6 2 2
Direct
0.750 0.915 0.404
0.250 0.085 0.596
0.250 0.799 0.472
0.750 0.201 0.528
0.250 0.547 0.842
0.750 0.887 0.142
0.250 0.113 0.858
0.750 0.453 0.158
0.250 0.196 0.229
0.750 0.804 0.771
0.750 0.329 0.845
0.250 0.671 0.155
```